Compound: KRbNa2Pd
Source: the Alexandria database
Functional: PBE
Structure: optimized geometry

Cell: 5.8681 5.8681 6.2124 Å, 90.00 90.00 90.00°
With the nearest neighbours (Å) after each atom.
Fractional coordinates of all 5 atoms:
Na 0.5000 0.0000 0.0000  2 Pd 2.93
Pd 0.0000 0.0000 0.0000  4 Na 2.93, 2 K 3.11
Na 0.0000 0.5000 0.0000  2 Pd 2.93
K 0.0000 0.0000 0.5000  2 Pd 3.11
Rb 0.5000 0.5000 0.5000  4 K 4.15, 8 Na 4.27

## Properties
The crystal system is tetragonal. The volume is 42.8 A^3/atom. The space-group type is No. 123. The offset from the most stable computed form is 0 meV per atom. For the energy of formation, the calculation gives 0.06 eV per atom. For the total moment, the calculation gives 0.00 μB per formula unit. The calculation puts the energy at -1.924 eV per atom.